Entry from Alexandria via LeMat-Bulk: a relaxed V2NiTe2O10 crystal (PBE+U).

**Final energy**: -6.30 eV per atom

Unit cell a=4.8701 b=6.4229 c=6.5897 alpha=84.76 beta=68.94 gamma=73.27
Last column: magnetic moment on the atom in μB.
Fractional coordinates of all 15 atoms:
V 0.6488 0.6121 0.6255  0.05
V 0.3512 0.3879 0.3745  0.05
Ni 0.0000 0.5000 0.0000  1.78
Te 0.2802 0.9045 0.2190  0.00
Te 0.7198 0.0955 0.7810  0.00
O 0.0379 0.5301 0.2953  0.01
O 0.9621 0.4699 0.7047  0.01
O 0.6523 0.3464 0.1372  0.01
O 0.3477 0.6536 0.8628  0.01
O 0.2931 0.1653 0.9628  0.02
O 0.7069 0.8347 0.0372  0.02
O 0.5957 0.3246 0.5745  0.00
O 0.4043 0.6754 0.4255  0.00
O 0.7250 0.8850 0.5869  0.00
O 0.2750 0.1150 0.4131  0.00